Entry from the Alexandria database: a relaxed structure of TiSnN2F (PBE).

Lattice parameters (Å, degrees): 4.126 4.126 3.987 90.00 90.00 90.00
Space group P4/mmm (No. 123)
Symmetry-distinct sites (fractional):
Ti 0.000 0.000 0.000 x1
Sn 0.500 0.500 0.500 x1
N 0.000 0.500 0.500 x2
F 0.500 0.500 0.000 x1

Computed properties:
DOS at the Fermi energy: 3.83 states/eV/cell
DFT total energy: -5.938 eV/atom
M_tot: 1.06 μB/f.u.
crystal system: tetragonal
ρ: 5.225 Mg/m³
energy relative to the elements, uncorrected: 0.15 eV/atom